VASP calculation (PBE-GGA) on Cs2TiI6Br after structural relaxation.

Structure (POSCAR):
```
Cs2TiI6Br
1.0
-4.558 4.558 5.822
4.558 -4.558 5.822
4.558 4.558 -5.822
Cs Ti I Br
2 1 6 1
Direct
0.250 0.750 0.500 Cs
0.750 0.250 0.500 Cs
0.000 0.000 0.000 Ti
0.213 0.213 0.427 I
0.213 0.787 0.000 I
0.244 0.244 0.000 I
0.756 0.756 0.000 I
0.787 0.213 0.000 I
0.787 0.787 0.573 I
0.500 0.500 0.000 Br
```

Results
SG: I4/mmm (139)
Spin magnetization: 0.00 μB per cell
Final energy: -2.97 eV per atom
DOS(E_F): 0.243 states/eV/atom
Formation energy without anion corrections: -0.914 eV/atom